[1]
# CaSb3S PBE relaxed
data_CaSb3S
_space_group_name_H-M_alt 'P m -3 m'
_space_group_IT_number 221
_space_group_name_Hall '-P 4 2 3'
_cell_length_a 5.713
_cell_length_b 5.713
_cell_length_c 5.713
_cell_angle_alpha 90.00
_cell_angle_beta 90.00
_cell_angle_gamma 90.00
loop_
_atom_site_label
_atom_site_type_symbol
_atom_site_fract_x
_atom_site_fract_y
_atom_site_fract_z
Ca1 Ca 0.000 0.000 0.000
Sb1 Sb 0.000 0.000 0.500
S1 S 0.500 0.500 0.500
# ΔE_f (raw): 0.9428 eV per atom
# DOS at the Fermi energy: 0.908 states/eV per atom
# Total moment: 1.40 Bohr magnetons per cell

=====

[2]
# YIr2Cl PBE relaxed
data_YIr2Cl
_space_group_name_H-M_alt 'I 4/m m m'
_space_group_IT_number 139
_space_group_name_Hall '-I 4 2'
_cell_length_a 3.731
_cell_length_b 3.731
_cell_length_c 10.791
_cell_angle_alpha 90.00
_cell_angle_beta 90.00
_cell_angle_gamma 90.00
loop_
_atom_site_label
_atom_site_type_symbol
_atom_site_fract_x
_atom_site_fract_y
_atom_site_fract_z
Y1 Y 0.000 0.000 0.000
Ir1 Ir 0.000 0.500 0.250
Cl1 Cl 0.000 0.000 0.500
# ΔE_f (raw): -0.2655 eV per atom
# DOS at the Fermi energy: 1.234 states/eV per atom
# Total moment: 0.00 Bohr magnetons per cell

=====

[3]
# LiTa4Ni PBE relaxed
data_LiTa4Ni
_space_group_name_H-M_alt 'F -4 3 m'
_space_group_IT_number 216
_space_group_name_Hall 'F -4 2 3'
_cell_length_a 7.634
_cell_length_b 7.634
_cell_length_c 7.634
_cell_angle_alpha 90.00
_cell_angle_beta 90.00
_cell_angle_gamma 90.00
loop_
_atom_site_label
_atom_site_type_symbol
_atom_site_fract_x
_atom_site_fract_y
_atom_site_fract_z
Li1 Li 0.000 0.000 0.000
Ta1 Ta 0.125 0.125 0.375
Ni1 Ni 0.250 0.250 0.750
# Formation energy from the elements: 0.68 eV per atom
# DOS at the Fermi energy: 0.811 states/eV per atom
# Total moment: 0.00 Bohr magnetons per cell

=====

[4]
# CaTeIr2Br PBE relaxed
data_CaTeIr2Br
_space_group_name_H-M_alt 'P 4/m m m'
_space_group_IT_number 123
_space_group_name_Hall '-P 4 2'
_cell_length_a 4.830
_cell_length_b 4.830
_cell_length_c 6.501
_cell_angle_alpha 90.00
_cell_angle_beta 90.00
_cell_angle_gamma 90.00
loop_
_atom_site_label
_atom_site_type_symbol
_atom_site_fract_x
_atom_site_fract_y
_atom_site_fract_z
Ca1 Ca 0.000 0.000 0.000
Te1 Te 0.000 0.000 0.500
Ir1 Ir 0.000 0.500 0.500
Br1 Br 0.500 0.500 0.000
# ΔE_f (raw): 0.5575 eV per atom
# DOS at the Fermi energy: 0.932 states/eV per atom
# Total moment: 0.00 Bohr magnetons per cell

=====

[5]
# IrRhAu2 PBE relaxed
data_IrRhAu2
_space_group_name_H-M_alt 'F -4 3 m'
_space_group_IT_number 216
_space_group_name_Hall 'F -4 2 3'
_cell_length_a 6.396
_cell_length_b 6.396
_cell_length_c 6.396
_cell_angle_alpha 90.00
_cell_angle_beta 90.00
_cell_angle_gamma 90.00
loop_
_atom_site_label
_atom_site_type_symbol
_atom_site_fract_x
_atom_site_fract_y
_atom_site_fract_z
Ir1 Ir 0.000 0.000 0.000
Rh1 Rh 0.250 0.250 0.250
Au1 Au 0.000 0.000 0.500
Au2 Au 0.250 0.250 0.750
# Formation energy from the elements: 0.45 eV per atom
# DOS at the Fermi energy: 1.412 states/eV per atom
# Total moment: 0.00 Bohr magnetons per cell

=====

[6]
# LiAg2HgCl6 PBE relaxed
data_LiAg2HgCl6
_space_group_name_H-M_alt 'P 1'
_space_group_IT_number 1
_space_group_name_Hall 'P 1'
_cell_length_a 6.627
_cell_length_b 6.738
_cell_length_c 6.894
_cell_angle_alpha 111.97
_cell_angle_beta 91.34
_cell_angle_gamma 118.39
loop_
_atom_site_label
_atom_site_type_symbol
_atom_site_fract_x
_atom_site_fract_y
_atom_site_fract_z
Li1 Li 0.000 0.000 0.000
Ag1 Ag 0.270 0.542 0.857
Ag2 Ag 0.777 0.550 0.349
Hg1 Hg 0.459 0.965 0.468
Cl1 Cl 0.030 0.408 0.120
Cl2 Cl 0.159 0.047 0.673
Cl3 Cl 0.366 0.045 0.153
Cl4 Cl 0.534 0.707 0.612
Cl5 Cl 0.679 0.716 0.111
Cl6 Cl 0.877 0.412 0.615
# ΔE_f (raw): -0.7042 eV per atom
# DOS at the Fermi energy: 0.467 states/eV per atom
# Total moment: 0.00 Bohr magnetons per cell

=====

[7]
# Zr4Sc5Pa PBE relaxed
data_Zr4Sc5Pa
_space_group_name_H-M_alt 'C 1 2/m 1'
_space_group_IT_number 12
_space_group_name_Hall '-C 2y'
_cell_length_a 16.253
_cell_length_b 3.169
_cell_length_c 9.630
_cell_angle_alpha 90.00
_cell_angle_beta 92.42
_cell_angle_gamma 90.00
loop_
_atom_site_label
_atom_site_type_symbol
_atom_site_fract_x
_atom_site_fract_y
_atom_site_fract_z
Zr1 Zr 0.043 0.000 0.257
Zr2 Zr 0.184 0.500 0.420
Sc1 Sc 0.000 0.500 0.000
Sc2 Sc 0.147 0.000 0.740
Sc3 Sc 0.189 0.000 0.099
Pa1 Pa 0.000 0.500 0.500
# Formation energy from the elements: 0.18 eV per atom
# DOS at the Fermi energy: 1.539 states/eV per atom
# Total moment: 0.00 Bohr magnetons per cell

=====

[8]
# Er5CdCo PBE relaxed
data_Er5CdCo
_space_group_name_H-M_alt 'C 1 2/c 1'
_space_group_IT_number 15
_space_group_name_Hall '-C 2yc'
_cell_length_a 10.636
_cell_length_b 6.791
_cell_length_c 11.224
_cell_angle_alpha 90.00
_cell_angle_beta 111.45
_cell_angle_gamma 90.00
loop_
_atom_site_label
_atom_site_type_symbol
_atom_site_fract_x
_atom_site_fract_y
_atom_site_fract_z
Er1 Er 0.000 0.009 0.250
Er2 Er 0.124 0.323 0.048
Er3 Er 0.222 0.176 0.634
Cd1 Cd 0.000 0.461 0.750
Co1 Co 0.000 0.000 0.000
# Formation energy from the elements: -0.04 eV per atom
# DOS at the Fermi energy: 1.094 states/eV per atom
# Total moment: 0.00 Bohr magnetons per cell

=====

Repeat the sixth record exactly.
# LiAg2HgCl6 PBE relaxed
data_LiAg2HgCl6
_space_group_name_H-M_alt 'P 1'
_space_group_IT_number 1
_space_group_name_Hall 'P 1'
_cell_length_a 6.627
_cell_length_b 6.738
_cell_length_c 6.894
_cell_angle_alpha 111.97
_cell_angle_beta 91.34
_cell_angle_gamma 118.39
loop_
_atom_site_label
_atom_site_type_symbol
_atom_site_fract_x
_atom_site_fract_y
_atom_site_fract_z
Li1 Li 0.000 0.000 0.000
Ag1 Ag 0.270 0.542 0.857
Ag2 Ag 0.777 0.550 0.349
Hg1 Hg 0.459 0.965 0.468
Cl1 Cl 0.030 0.408 0.120
Cl2 Cl 0.159 0.047 0.673
Cl3 Cl 0.366 0.045 0.153
Cl4 Cl 0.534 0.707 0.612
Cl5 Cl 0.679 0.716 0.111
Cl6 Cl 0.877 0.412 0.615
# ΔE_f (raw): -0.7042 eV per atom
# DOS at the Fermi energy: 0.467 states/eV per atom
# Total moment: 0.00 Bohr magnetons per cell